# 1
A geometry-optimized CsSbIO6 structure. Source: Alexandria via LeMat-Bulk, functional PBE.

The space group is P312 (No. 149) and the conventional cell measures 5.4542, 5.4542 and 6.8732 Å, with angles of 90.00, 90.00 and 120.00 degrees. Symmetry generates all atoms from Cs at (0.0000, 0.0000, 0.0000), Sb at (0.3333, 0.6667, 0.5000), I at (0.6667, 0.3333, 0.5000) and O at (0.9996, 0.3935, 0.6669).

As for the uncorrected energy: -5.00 eV/atom. Its size of the total moment is 0.0 μB per formula unit. For the density, the calculation gives 4.48 Mg/m³.

# 2
A geometry-optimized CsSbIO2 structure. Source: Alexandria via LeMat-Bulk, functional PBE.

The space group is P4/mmm (No. 123) and the conventional cell measures 4.5846, 4.5846 and 6.0737 Å, with angles of 90.00, 90.00 and 90.00 degrees. Symmetry generates all atoms from Cs at (0.0000, 0.0000, 0.0000), Sb at (0.5000, 0.5000, 0.5000), I at (0.5000, 0.5000, 0.0000) and O at (0.0000, 0.5000, 0.5000).

As for the uncorrected energy: -3.90 eV/atom. Its size of the total moment is 0.2 μB per formula unit. For the density, the calculation gives 5.38 Mg/m³.

# 3
A geometry-optimized CsSbIO2 structure. Source: Alexandria via LeMat-Bulk, functional PBE.

The space group is P4/mmm (No. 123) and the conventional cell measures 4.5922, 4.5922 and 5.8620 Å, with angles of 90.00, 90.00 and 90.00 degrees. Symmetry generates all atoms from Cs at (0.0000, 0.0000, 0.0000), Sb at (0.5000, 0.5000, 0.0000), I at (0.5000, 0.5000, 0.5000) and O at (0.0000, 0.5000, 0.5000).

As for the uncorrected energy: -3.05 eV/atom. Its size of the total moment is 0.0 μB per formula unit. For the density, the calculation gives 5.56 Mg/m³.